Computed, not measured: crystalline K2MnTlCr at its relaxed geometry at the PBE level of DFT.

Properties
calculated formation energy: 1.1698 eV/atom
size of the total moment: 0.03 μB per atom

Unit cell a=6.5619 b=6.5619 c=3.9691 alpha=90.00 beta=90.00 gamma=90.00
With the nearest neighbours (Å) after each atom.
Space group P4/mmm (No. 123)
One atom of each set of equivalent atoms:
K  0.0000  0.5000  0.0000 x2  2 Cr 3.28
Mn  0.0000  0.0000  0.5000 x1  2 Cr 1.98
Tl  0.5000  0.5000  0.5000 x1  8 K 3.83, 2 Tl 3.97
Cr  0.0000  0.0000  0.0000 x1  2 Mn 1.98

=====

Computed, not measured: crystalline KZr2MnCr at its relaxed geometry at the PBE level of DFT.

Properties
calculated formation energy: 0.7975 eV/atom
size of the total moment: 0.58 μB per atom

Unit cell a=4.9397 b=4.9397 c=4.8502 alpha=90.00 beta=90.00 gamma=90.00
With the nearest neighbours (Å) after each atom.
Space group P4/mmm (No. 123)
One atom of each set of equivalent atoms:
K  0.0000  0.0000  0.0000 x1  8 Zr 3.46, 4 Cr 3.49
Zr  0.0000  0.5000  0.5000 x2  2 Mn 2.47
Mn  0.5000  0.5000  0.5000 x1  2 Cr 2.43, 4 Zr 2.47
Cr  0.5000  0.5000  0.0000 x1  2 Mn 2.43

=====

Computed, not measured: crystalline K2CrMo at its relaxed geometry at the PBE level of DFT.

Properties
calculated formation energy: 1.4873 eV/atom
polymorph energy (0 for the lowest one): 627 meV/atom
size of the total moment: 0.31 μB per atom

Unit cell a=4.1655 b=4.1655 c=12.0648 alpha=90.00 beta=90.00 gamma=90.00
With the nearest neighbours (Å) after each atom.
Space group I4/mmm (No. 139)
One atom of each set of equivalent atoms:
K  0.0000  0.5000  0.2500 x4  4 K 2.95
Cr  0.0000  0.0000  0.0000 x2  4 Mo 2.95
Mo  0.0000  0.0000  0.5000 x2  4 Cr 2.95

=====

Computed, not measured: crystalline K2CrMo at its relaxed geometry at the PBE level of DFT.

Properties
calculated formation energy: 1.5197 eV/atom
polymorph energy (0 for the lowest one): 659 meV/atom
size of the total moment: 1.05 μB per atom

Unit cell a=3.2256 b=4.9571 c=12.3871 alpha=90.00 beta=90.00 gamma=90.00
With the nearest neighbours (Å) after each atom.
Space group Cmmm (No. 65)
One atom of each set of equivalent atoms:
K  0.0000  0.0000  0.2444 x4  6 K 2.96-3.23
Cr  0.0000  0.5000  0.5000 x2  6 Cr 2.96-3.23
Mo  0.0000  0.5000  0.0000 x2  6 Mo 2.96-3.23

=====

Computed, not measured: crystalline K2CrMo at its relaxed geometry at the PBE level of DFT.

Properties
calculated formation energy: 1.1141 eV/atom
polymorph energy (0 for the lowest one): 253 meV/atom
size of the total moment: 0.18 μB per atom

Unit cell a=3.2294 b=6.4138 c=12.0934 alpha=90.00 beta=90.00 gamma=90.00
With the nearest neighbours (Å) after each atom.
Space group Imm2 (No. 44)
One atom of each set of equivalent atoms:
K  0.0000  0.0000  0.0000 x2  2 K 3.23
K  0.0000  0.5000  0.1997 x2  2 K 3.23
Cr  0.0000  0.0000  0.4194 x2  2 Mo 2.24
Mo  0.0000  0.5000  0.7915 x2  2 Cr 2.24

=====

Computed, not measured: crystalline K2CrMo at its relaxed geometry at the PBE level of DFT.

Properties
calculated formation energy: 1.4706 eV/atom
polymorph energy (0 for the lowest one): 610 meV/atom
size of the total moment: 0.66 μB per atom

Unit cell a=2.9373 b=6.1734 c=5.4052 alpha=90.00 beta=93.03 gamma=90.00
With the nearest neighbours (Å) after each atom.
Space group P2/m (No. 10)
One atom of each set of equivalent atoms:
K  0.2446  0.0000  0.2517 x2  6 K 2.94-3.18
Cr  0.0000  0.5000  0.5000 x1  2 Cr 2.94, 4 Mo 3.01-3.14
Mo  0.5000  0.5000  0.0000 x1  2 Mo 2.94, 4 Cr 3.01-3.14

=====

Computed, not measured: crystalline K2CrMo at its relaxed geometry at the PBE level of DFT.

Properties
calculated formation energy: 1.4795 eV/atom
polymorph energy (0 for the lowest one): 619 meV/atom
size of the total moment: 0.07 μB per atom

Unit cell a=5.5252 b=5.5252 c=7.8062 alpha=90.00 beta=90.00 gamma=90.00
With the nearest neighbours (Å) after each atom.
Space group I-4m2 (No. 119)
One atom of each set of equivalent atoms:
K  0.0000  0.0000  0.0000 x2  4 Cr 3.38, 4 K 3.38
K  0.0000  0.5000  0.2500 x2  4 Mo 3.38, 4 K 3.38
Cr  0.0000  0.5000  0.7500 x2  4 Mo 3.38, 4 K 3.38
Mo  0.0000  0.0000  0.5000 x2  4 Cr 3.38, 4 K 3.38

=====

Computed, not measured: crystalline K2CrMo at its relaxed geometry at the PBE level of DFT.

Properties
calculated formation energy: 1.5345 eV/atom
polymorph energy (0 for the lowest one): 674 meV/atom
size of the total moment: 0.74 μB per atom

Unit cell a=5.7094 b=12.1533 c=2.9147 alpha=90.00 beta=90.00 gamma=90.00
With the nearest neighbours (Å) after each atom.
Space group Cmmm (No. 65)
One atom of each set of equivalent atoms:
K  0.2500  0.2500  0.0000 x4  4 K 2.85-2.91
Cr  0.0000  0.0000  0.5000 x2  2 Mo 2.85, 2 Cr 2.91
Mo  0.0000  0.5000  0.5000 x2  2 Cr 2.85, 2 Mo 2.91